(1)
# P2Pb3O8 (SCAN, single point on PBEsol structure)
data_P2Pb3O8
_cell_length_a 9.344
_cell_length_b 5.537
_cell_length_c 7.422
_cell_angle_alpha 90.00
_cell_angle_beta 115.10
_cell_angle_gamma 90.00
_symmetry_space_group_name_H-M 'C 1 2/m 1'
_symmetry_Int_Tables_number 12
_symmetry_space_group_name_Hall '-C 2y'
loop_
_atom_site_label
_atom_site_fract_x
_atom_site_fract_y
_atom_site_fract_z
_atom_site_occupancy
P1 0.095 0.000 0.288 1
Pb1 0.000 0.500 0.500 1
Pb2 0.217 0.500 0.133 1
O1 0.012 0.228 0.788 1
O2 0.178 0.000 0.518 1
O3 0.221 0.000 0.204 1
# * crystal system: monoclinic
# * DOS(E_F): 0.000 states/eV per atom

(2)
# P2Pb3O8 (SCAN, single point on PBEsol structure)
data_P2Pb3O8
_cell_length_a 9.7800
_cell_length_b 9.7800
_cell_length_c 7.2247
_cell_angle_alpha 90.00
_cell_angle_beta 90.00
_cell_angle_gamma 120.00
_symmetry_space_group_name_H-M 'P 3'
_symmetry_Int_Tables_number 143
_symmetry_space_group_name_Hall 'P 3'
loop_
_atom_site_label
_atom_site_fract_x
_atom_site_fract_y
_atom_site_fract_z
_atom_site_occupancy
P1 0.0189 0.3950 0.0000 1
P2 0.3938 0.3739 0.4984 1
Pb1 0.0028 0.7449 0.9946 1
Pb2 0.0128 0.2603 0.5066 1
Pb3 0.3333 0.6667 0.2584 1
Pb4 0.6667 0.3333 0.2542 1
Pb5 0.6667 0.3333 0.7545 1
O1 0.0675 0.3271 0.8351 1
O2 0.0816 0.3524 0.1760 1
O3 0.0952 0.5767 0.9926 1
O4 0.1610 0.6947 0.4877 1
O5 0.3440 0.2634 0.6708 1
O6 0.3635 0.2674 0.3256 1
O7 0.4823 0.1652 0.0027 1
O8 0.5124 0.0896 0.5122 1
# * crystal system: trigonal
# * DOS(E_F): 0.000 states/eV per atom

(3)
# P4Pb3O13 (SCAN, single point on PBEsol structure)
data_P4Pb3O13
_cell_length_a 7.349
_cell_length_b 7.833
_cell_length_c 10.186
_cell_angle_alpha 102.32
_cell_angle_beta 103.95
_cell_angle_gamma 94.68
_symmetry_space_group_name_H-M 'P -1'
_symmetry_Int_Tables_number 2
_symmetry_space_group_name_Hall '-P 1'
loop_
_atom_site_label
_atom_site_fract_x
_atom_site_fract_y
_atom_site_fract_z
_atom_site_occupancy
P1 0.137 0.460 0.363 1
P2 0.166 0.195 0.990 1
P3 0.315 0.809 0.533 1
P4 0.363 0.537 0.162 1
Pb1 0.194 0.228 0.648 1
Pb2 0.256 0.024 0.270 1
Pb3 0.293 0.773 0.885 1
O1 0.036 0.176 0.084 1
O2 0.041 0.487 0.718 1
O3 0.072 0.146 0.834 1
O4 0.119 0.283 0.397 1
O5 0.157 0.891 0.447 1
O6 0.227 0.601 0.507 1
O7 0.236 0.407 0.022 1
O8 0.301 0.467 0.284 1
O9 0.321 0.720 0.154 1
O10 0.345 0.107 0.029 1
O11 0.347 0.886 0.690 1
O12 0.432 0.491 0.816 1
O13 0.495 0.812 0.487 1
# * crystal system: triclinic
# * DOS(E_F): 0.000 states/eV per atom

(4)
# P2PdPbO7 (SCAN, single point on PBEsol structure)
data_P2PdPbO7
_cell_length_a 13.448
_cell_length_b 5.963
_cell_length_c 7.422
_cell_angle_alpha 90.00
_cell_angle_beta 90.00
_cell_angle_gamma 90.00
_symmetry_space_group_name_H-M 'P n m a'
_symmetry_Int_Tables_number 62
_symmetry_space_group_name_Hall '-P 2ac 2n'
loop_
_atom_site_label
_atom_site_fract_x
_atom_site_fract_y
_atom_site_fract_z
_atom_site_occupancy
P1 0.095 0.250 0.186 1
P2 0.117 0.750 0.790 1
Pd1 0.000 0.000 0.500 1
Pb1 0.245 0.750 0.243 1
O1 0.015 0.750 0.904 1
O2 0.100 0.032 0.301 1
O3 0.115 0.534 0.672 1
O4 0.172 0.250 0.041 1
O5 0.204 0.750 0.917 1
# * crystal system: orthorhombic

(5)
# SiP4PdPbO14 (SCAN, single point on PBEsol structure)
data_SiP4PdPbO14
_cell_length_a 4.607
_cell_length_b 17.235
_cell_length_c 6.474
_cell_angle_alpha 90.00
_cell_angle_beta 102.36
_cell_angle_gamma 90.00
_symmetry_space_group_name_H-M 'P 1 21/m 1'
_symmetry_Int_Tables_number 11
_symmetry_space_group_name_Hall '-P 2yb'
loop_
_atom_site_label
_atom_site_fract_x
_atom_site_fract_y
_atom_site_fract_z
_atom_site_occupancy
Si1 0.000 0.000 0.000 1
P1 0.118 0.124 0.351 1
P2 0.432 0.087 0.778 1
Pd1 0.380 0.750 0.645 1
Pb1 0.109 0.250 0.861 1
O1 0.069 0.568 0.807 1
O2 0.073 0.671 0.525 1
O3 0.155 0.075 0.872 1
O4 0.311 0.173 0.233 1
O5 0.327 0.073 0.527 1
O6 0.346 0.521 0.160 1
O7 0.462 0.670 0.183 1
# * crystal system: monoclinic
# * DOS(E_F): 0.000 states/eV per atom

(6)
# P2PbSO (SCAN, single point on PBEsol structure)
data_P2PbSO
_cell_length_a 3.898
_cell_length_b 3.898
_cell_length_c 6.204
_cell_angle_alpha 90.00
_cell_angle_beta 90.00
_cell_angle_gamma 90.00
_symmetry_space_group_name_H-M 'P 4/m m m'
_symmetry_Int_Tables_number 123
_symmetry_space_group_name_Hall '-P 4 2'
loop_
_atom_site_label
_atom_site_fract_x
_atom_site_fract_y
_atom_site_fract_z
_atom_site_occupancy
P1 0.000 0.500 0.000 1
Pb1 0.000 0.000 0.500 1
S1 0.500 0.500 0.500 1
O1 0.500 0.500 0.000 1
# * crystal system: tetragonal
# * DOS(E_F): 0.583 states/eV per atom

(7)
# ScPPbO2 (SCAN, single point on PBEsol structure)
data_ScPPbO2
_cell_length_a 4.019
_cell_length_b 4.019
_cell_length_c 5.302
_cell_angle_alpha 90.00
_cell_angle_beta 90.00
_cell_angle_gamma 90.00
_symmetry_space_group_name_H-M 'P 4/m m m'
_symmetry_Int_Tables_number 123
_symmetry_space_group_name_Hall '-P 4 2'
loop_
_atom_site_label
_atom_site_fract_x
_atom_site_fract_y
_atom_site_fract_z
_atom_site_occupancy
Sc1 0.000 0.000 0.000 1
P1 0.000 0.000 0.500 1
Pb1 0.500 0.500 0.500 1
O1 0.000 0.500 0.000 1
# * crystal system: tetragonal
# * DOS(E_F): 0.546 states/eV per atom

(8)
# ScP2PbO (SCAN, single point on PBEsol structure)
data_ScP2PbO
_cell_length_a 5.145
_cell_length_b 5.145
_cell_length_c 3.858
_cell_angle_alpha 90.00
_cell_angle_beta 90.00
_cell_angle_gamma 90.00
_symmetry_space_group_name_H-M 'P 4/m m m'
_symmetry_Int_Tables_number 123
_symmetry_space_group_name_Hall '-P 4 2'
loop_
_atom_site_label
_atom_site_fract_x
_atom_site_fract_y
_atom_site_fract_z
_atom_site_occupancy
Sc1 0.000 0.000 0.000 1
P1 0.000 0.500 0.000 1
Pb1 0.500 0.500 0.500 1
O1 0.000 0.000 0.500 1
# * relative energy among the computed polymorphs: 0 meV/atom
# * crystal system: tetragonal
# * DOS(E_F): 0.826 states/eV per atom

(9)
# ScP2PbO (SCAN, single point on PBEsol structure)
data_ScP2PbO
_cell_length_a 5.075
_cell_length_b 5.075
_cell_length_c 4.112
_cell_angle_alpha 90.00
_cell_angle_beta 90.00
_cell_angle_gamma 90.00
_symmetry_space_group_name_H-M 'P 4/m m m'
_symmetry_Int_Tables_number 123
_symmetry_space_group_name_Hall '-P 4 2'
loop_
_atom_site_label
_atom_site_fract_x
_atom_site_fract_y
_atom_site_fract_z
_atom_site_occupancy
Sc1 0.000 0.000 0.000 1
P1 0.000 0.500 0.500 1
Pb1 0.500 0.500 0.500 1
O1 0.500 0.500 0.000 1
# * relative energy among the computed polymorphs: 800 meV/atom
# * crystal system: tetragonal
# * DOS(E_F): 0.808 states/eV per atom

(10)
# SnP2PbO (SCAN, single point on PBEsol structure)
data_SnP2PbO
_cell_length_a 5.120
_cell_length_b 5.120
_cell_length_c 3.950
_cell_angle_alpha 90.00
_cell_angle_beta 90.00
_cell_angle_gamma 90.00
_symmetry_space_group_name_H-M 'P 4/m m m'
_symmetry_Int_Tables_number 123
_symmetry_space_group_name_Hall '-P 4 2'
loop_
_atom_site_label
_atom_site_fract_x
_atom_site_fract_y
_atom_site_fract_z
_atom_site_occupancy
Sn1 0.000 0.000 0.000 1
P1 0.000 0.500 0.000 1
Pb1 0.500 0.500 0.500 1
O1 0.000 0.000 0.500 1
# * crystal system: tetragonal
# * DOS(E_F): 0.657 states/eV per atom

(11)
# SnPPbO2 (SCAN, single point on PBEsol structure)
data_SnPPbO2
_cell_length_a 4.162
_cell_length_b 4.162
_cell_length_c 5.318
_cell_angle_alpha 90.00
_cell_angle_beta 90.00
_cell_angle_gamma 90.00
_symmetry_space_group_name_H-M 'P 4/m m m'
_symmetry_Int_Tables_number 123
_symmetry_space_group_name_Hall '-P 4 2'
loop_
_atom_site_label
_atom_site_fract_x
_atom_site_fract_y
_atom_site_fract_z
_atom_site_occupancy
Sn1 0.000 0.000 0.000 1
P1 0.500 0.500 0.000 1
Pb1 0.500 0.500 0.500 1
O1 0.000 0.500 0.500 1
# * crystal system: tetragonal
# * DOS(E_F): 0.491 states/eV per atom

(12)
# TcP2PbO (SCAN, single point on PBEsol structure)
data_TcP2PbO
_cell_length_a 5.098
_cell_length_b 5.098
_cell_length_c 4.020
_cell_angle_alpha 90.00
_cell_angle_beta 90.00
_cell_angle_gamma 90.00
_symmetry_space_group_name_H-M 'P 4/m m m'
_symmetry_Int_Tables_number 123
_symmetry_space_group_name_Hall '-P 4 2'
loop_
_atom_site_label
_atom_site_fract_x
_atom_site_fract_y
_atom_site_fract_z
_atom_site_occupancy
Tc1 0.000 0.000 0.000 1
P1 0.000 0.500 0.500 1
Pb1 0.500 0.500 0.500 1
O1 0.500 0.500 0.000 1
# * crystal system: tetragonal
# * DOS(E_F): 0.522 states/eV per atom

Here are the calculated final energy numbers, same order: -24.973 -24.972 -19.684 -17.676 -14.035 -22.131 -23.883 -23.919 -23.119 -27.537 -26.904 -26.306 (eV per atom).
Here are the calculated magnetization numbers, same order: 0.00 0.00 0.00 0.00 0.00 0.00 0.15 0.00 0.00 0.00 0.00 0.63 (μB per atom).